(1)
Fe4Te3S: optimized geometry, GGA-PBE.

Computed properties:
energy above the most stable polymorph in this dataset = 0.000 eV/atom
crystal system = tetragonal
uncorrected formation energy = -153 meV/atom
E = -6.08 eV/atom
Fermi-level density of states = 6.282 states/eV/cell
magnetization = 0.622 μB/atom

Cell and atoms, written as CIF:
```
data_Fe4Te3S
_chemical_formula_sum 'Fe4 Te3 S1'
_symmetry_space_group_name_H-M 'P 4 m m'
_symmetry_Int_Tables_number 99
_symmetry_space_group_name_Hall 'P 4 -2'
_cell_length_a 3.6666
_cell_length_b 3.6666
_cell_length_c 12.9723
_cell_angle_alpha 90.00
_cell_angle_beta 90.00
_cell_angle_gamma 90.00
loop_
_atom_site_label
_atom_site_type_symbol
_atom_site_fract_x
_atom_site_fract_y
_atom_site_fract_z
_atom_site_occupancy
Fe1 Fe 0.0000 0.5000 0.0000 1
Fe2 Fe 0.0000 0.5000 0.4798 1
Te1 Te 0.0000 0.0000 0.1434 1
Te2 Te 0.0000 0.0000 0.6089 1
Te3 Te 0.5000 0.5000 0.8563 1
S1 S 0.5000 0.5000 0.3928 1
```

(2)
Pm3DyF: optimized geometry, GGA-PBE.

Computed properties:
crystal system = cubic
uncorrected formation energy = -972 meV/atom
E = -5.12 eV/atom
Fermi-level density of states = 5.542 states/eV/cell
magnetization = 0.000 μB/atom

Cell and atoms, written as CIF:
```
data_Pm3DyF
_chemical_formula_sum 'Pm3 Dy1 F1'
_symmetry_space_group_name_H-M 'P m -3 m'
_symmetry_Int_Tables_number 221
_symmetry_space_group_name_Hall '-P 4 2 3'
_cell_length_a 5.1421
_cell_length_b 5.1421
_cell_length_c 5.1421
_cell_angle_alpha 90.00
_cell_angle_beta 90.00
_cell_angle_gamma 90.00
loop_
_atom_site_label
_atom_site_type_symbol
_atom_site_fract_x
_atom_site_fract_y
_atom_site_fract_z
_atom_site_occupancy
Pm1 Pm 0.0000 0.0000 0.5000 1
Dy1 Dy 0.5000 0.5000 0.5000 1
F1 F 0.0000 0.0000 0.0000 1
```

(3)
PmHoMg4: optimized geometry, GGA-PBE.

Computed properties:
energy above the most stable polymorph in this dataset = 0.000 eV/atom
crystal system = cubic
E = -2.70 eV/atom
Fermi-level density of states = 25.994 states/eV/cell
magnetization = 0.000 μB/atom

Cell and atoms, written as CIF:
```
data_PmHoMg4
_chemical_formula_sum 'Pm4 Ho4 Mg16'
_symmetry_space_group_name_H-M 'F -4 3 m'
_symmetry_Int_Tables_number 216
_symmetry_space_group_name_Hall 'F -4 2 3'
_cell_length_a 8.5734
_cell_length_b 8.5734
_cell_length_c 8.5734
_cell_angle_alpha 90.00
_cell_angle_beta 90.00
_cell_angle_gamma 90.00
loop_
_atom_site_label
_atom_site_type_symbol
_atom_site_fract_x
_atom_site_fract_y
_atom_site_fract_z
_atom_site_occupancy
Pm1 Pm 0.0000 0.0000 0.0000 1
Ho1 Ho 0.2500 0.2500 0.7500 1
Mg1 Mg 0.1249 0.1249 0.3751 1
```

(4)
Tm2HfP3: optimized geometry, GGA-PBE.

Computed properties:
crystal system = tetragonal
E = -7.33 eV/atom
Fermi-level density of states = 2.746 states/eV/cell
magnetization = 0.000 μB/atom

Cell and atoms, written as CIF:
```
data_Tm2HfP3
_chemical_formula_sum 'Tm4 Hf2 P6'
_symmetry_space_group_name_H-M 'I 4/m m m'
_symmetry_Int_Tables_number 139
_symmetry_space_group_name_Hall '-I 4 2'
_cell_length_a 3.8584
_cell_length_b 3.8584
_cell_length_c 16.3067
_cell_angle_alpha 90.00
_cell_angle_beta 90.00
_cell_angle_gamma 90.00
loop_
_atom_site_label
_atom_site_type_symbol
_atom_site_fract_x
_atom_site_fract_y
_atom_site_fract_z
_atom_site_occupancy
Tm1 Tm 0.0000 0.0000 0.1670 1
Hf1 Hf 0.0000 0.0000 0.5000 1
P1 P 0.0000 0.0000 0.0000 1
P2 P 0.0000 0.0000 0.3381 1
```

(5)
Dy8Ho5Tm: optimized geometry, GGA-PBE.

Computed properties:
crystal system = tetragonal
E = -4.32 eV/atom
Fermi-level density of states = 41.650 states/eV/cell
magnetization = 0.000 μB/atom

Cell and atoms, written as CIF:
```
data_Dy8Ho5Tm
_chemical_formula_sum 'Dy16 Ho10 Tm2'
_symmetry_space_group_name_H-M 'I -4'
_symmetry_Int_Tables_number 82
_symmetry_space_group_name_Hall 'I -4'
_cell_length_a 9.4984
_cell_length_b 9.4984
_cell_length_c 10.0014
_cell_angle_alpha 90.00
_cell_angle_beta 90.00
_cell_angle_gamma 90.00
loop_
_atom_site_label
_atom_site_type_symbol
_atom_site_fract_x
_atom_site_fract_y
_atom_site_fract_z
_atom_site_occupancy
Dy1 Dy 0.0700 0.3244 0.0941 1
Dy2 Dy 0.0886 0.1744 0.7526 1
Ho1 Ho 0.0000 0.0000 0.0000 1
Ho2 Ho 0.1098 0.2100 0.4243 1
Tm1 Tm 0.0000 0.5000 0.7500 1
```

(6)
KH4Pt2: optimized geometry, GGA-PBE.

Computed properties:
crystal system = monoclinic
E = -3.97 eV/atom
Fermi-level density of states = 11.962 states/eV/cell
magnetization = 0.000 μB/atom

Cell and atoms, written as CIF:
```
data_KH4Pt2
_chemical_formula_sum 'K4 H16 Pt8'
_symmetry_space_group_name_H-M 'C 1 2/c 1'
_symmetry_Int_Tables_number 15
_symmetry_space_group_name_Hall '-C 2yc'
_cell_length_a 7.5179
_cell_length_b 7.4452
_cell_length_c 8.7984
_cell_angle_alpha 90.00
_cell_angle_beta 115.00
_cell_angle_gamma 90.00
loop_
_atom_site_label
_atom_site_type_symbol
_atom_site_fract_x
_atom_site_fract_y
_atom_site_fract_z
_atom_site_occupancy
K1 K 0.0000 0.1260 0.2500 1
H1 H 0.0014 0.2707 0.9568 1
H2 H 0.2086 0.4800 0.9605 1
Pt1 Pt 0.0000 0.5000 0.0000 1
Pt2 Pt 0.2500 0.2500 0.0000 1
```

(7)
Zr2GaC: optimized geometry, GGA-PBE.

Computed properties:
crystal system = orthorhombic
E = -7.91 eV/atom
Fermi-level density of states = 6.693 states/eV/cell
magnetization = 0.000 μB/atom

Cell and atoms, written as CIF:
```
data_Zr2GaC
_chemical_formula_sum 'Zr8 Ga4 C4'
_symmetry_space_group_name_H-M 'C m c m'
_symmetry_Int_Tables_number 63
_symmetry_space_group_name_Hall '-C 2c 2'
_cell_length_a 3.4982
_cell_length_b 20.4373
_cell_length_c 3.6858
_cell_angle_alpha 90.00
_cell_angle_beta 90.00
_cell_angle_gamma 90.00
loop_
_atom_site_label
_atom_site_type_symbol
_atom_site_fract_x
_atom_site_fract_y
_atom_site_fract_z
_atom_site_occupancy
Zr1 Zr 0.0000 0.0879 0.2500 1
Zr2 Zr 0.0000 0.3038 0.2500 1
Ga1 Ga 0.0000 0.4597 0.2500 1
C1 C 0.0000 0.1951 0.2500 1
```

(8)
VGa2Tc: optimized geometry, GGA-PBE.

Computed properties:
energy above the most stable polymorph in this dataset = 0.016 eV/atom
crystal system = cubic
E = -6.44 eV/atom
Fermi-level density of states = 14.532 states/eV/cell
magnetization = 0.254 μB/atom

Cell and atoms, written as CIF:
```
data_VGa2Tc
_chemical_formula_sum 'V4 Ga8 Tc4'
_symmetry_space_group_name_H-M 'F m -3 m'
_symmetry_Int_Tables_number 225
_symmetry_space_group_name_Hall '-F 4 2 3'
_cell_length_a 6.1274
_cell_length_b 6.1274
_cell_length_c 6.1274
_cell_angle_alpha 90.00
_cell_angle_beta 90.00
_cell_angle_gamma 90.00
loop_
_atom_site_label
_atom_site_type_symbol
_atom_site_fract_x
_atom_site_fract_y
_atom_site_fract_z
_atom_site_occupancy
V1 V 0.0000 0.0000 0.0000 1
Ga1 Ga 0.2500 0.2500 0.2500 1
Tc1 Tc 0.0000 0.0000 0.5000 1
```

(9)
TcRuRh4: optimized geometry, GGA-PBE.

Computed properties:
energy above the most stable polymorph in this dataset = 0.205 eV/atom
crystal system = orthorhombic
E = -8.01 eV/atom
Fermi-level density of states = 18.743 states/eV/cell
magnetization = 0.000 μB/atom

Cell and atoms, written as CIF:
```
data_TcRuRh4
_chemical_formula_sum 'Tc2 Ru2 Rh8'
_symmetry_space_group_name_H-M 'C m m m'
_symmetry_Int_Tables_number 65
_symmetry_space_group_name_Hall '-C 2 2'
_cell_length_a 4.2961
_cell_length_b 7.5535
_cell_length_c 5.3340
_cell_angle_alpha 90.00
_cell_angle_beta 90.00
_cell_angle_gamma 90.00
loop_
_atom_site_label
_atom_site_type_symbol
_atom_site_fract_x
_atom_site_fract_y
_atom_site_fract_z
_atom_site_occupancy
Tc1 Tc 0.0000 0.0000 0.0000 1
Ru1 Ru 0.0000 0.0000 0.5000 1
Rh1 Rh 0.0000 0.3346 0.2520 1
```

(10)
Ac5Zn4Cd: optimized geometry, GGA-PBE.

Computed properties:
crystal system = tetragonal
E = -2.91 eV/atom
Fermi-level density of states = 11.707 states/eV/cell
magnetization = 0.000 μB/atom

Cell and atoms, written as CIF:
```
data_Ac5Zn4Cd
_chemical_formula_sum 'Ac5 Zn4 Cd1'
_symmetry_space_group_name_H-M 'P 4/m m m'
_symmetry_Int_Tables_number 123
_symmetry_space_group_name_Hall '-P 4 2'
_cell_length_a 3.9398
_cell_length_b 3.9398
_cell_length_c 19.7647
_cell_angle_alpha 90.00
_cell_angle_beta 90.00
_cell_angle_gamma 90.00
loop_
_atom_site_label
_atom_site_type_symbol
_atom_site_fract_x
_atom_site_fract_y
_atom_site_fract_z
_atom_site_occupancy
Ac1 Ac 0.0000 0.0000 0.0000 1
Ac2 Ac 0.0000 0.0000 0.1970 1
Ac3 Ac 0.0000 0.0000 0.3905 1
Zn1 Zn 0.5000 0.5000 0.0988 1
Zn2 Zn 0.5000 0.5000 0.2944 1
Cd1 Cd 0.5000 0.5000 0.5000 1
```

(11)
PmBRh: optimized geometry, GGA-PBE.

Computed properties:
energy above the most stable polymorph in this dataset = 0.021 eV/atom
crystal system = hexagonal
E = -6.75 eV/atom
Fermi-level density of states = 2.679 states/eV/cell
magnetization = 0.000 μB/atom

Cell and atoms, written as CIF:
```
data_PmBRh
_chemical_formula_sum 'Pm1 B1 Rh1'
_symmetry_space_group_name_H-M 'P -6 m 2'
_symmetry_Int_Tables_number 187
_symmetry_space_group_name_Hall 'P -6 2'
_cell_length_a 3.7202
_cell_length_b 3.7202
_cell_length_c 4.3332
_cell_angle_alpha 90.00
_cell_angle_beta 90.00
_cell_angle_gamma 120.00
loop_
_atom_site_label
_atom_site_type_symbol
_atom_site_fract_x
_atom_site_fract_y
_atom_site_fract_z
_atom_site_occupancy
Pm1 Pm 0.0000 0.0000 0.0000 1
B1 B 0.3333 0.6667 0.5000 1
Rh1 Rh 0.6667 0.3333 0.5000 1
```

(12)
Cd5Cu4: optimized geometry, GGA-PBE.

Computed properties:
energy above the most stable polymorph in this dataset = 0.000 eV/atom
crystal system = hexagonal
E = -2.24 eV/atom
Fermi-level density of states = 4.725 states/eV/cell
magnetization = 0.000 μB/atom

Cell and atoms, written as CIF:
```
data_Cd5Cu4
_chemical_formula_sum 'Cd10 Cu8'
_symmetry_space_group_name_H-M 'P 63/m c m'
_symmetry_Int_Tables_number 193
_symmetry_space_group_name_Hall '-P 6c 2'
_cell_length_a 8.0327
_cell_length_b 8.0327
_cell_length_c 5.5322
_cell_angle_alpha 90.00
_cell_angle_beta 90.00
_cell_angle_gamma 120.00
loop_
_atom_site_label
_atom_site_type_symbol
_atom_site_fract_x
_atom_site_fract_y
_atom_site_fract_z
_atom_site_occupancy
Cd1 Cd 0.0000 0.2916 0.2500 1
Cd2 Cd 0.3333 0.6667 0.0000 1
Cu1 Cu 0.0000 0.0000 0.0000 1
Cu2 Cu 0.0000 0.3699 0.7500 1
```

Copy entry 10 word for word.
Ac5Zn4Cd: optimized geometry, GGA-PBE.

Computed properties:
crystal system = tetragonal
E = -2.91 eV/atom
Fermi-level density of states = 11.707 states/eV/cell
magnetization = 0.000 μB/atom

Cell and atoms, written as CIF:
```
data_Ac5Zn4Cd
_chemical_formula_sum 'Ac5 Zn4 Cd1'
_symmetry_space_group_name_H-M 'P 4/m m m'
_symmetry_Int_Tables_number 123
_symmetry_space_group_name_Hall '-P 4 2'
_cell_length_a 3.9398
_cell_length_b 3.9398
_cell_length_c 19.7647
_cell_angle_alpha 90.00
_cell_angle_beta 90.00
_cell_angle_gamma 90.00
loop_
_atom_site_label
_atom_site_type_symbol
_atom_site_fract_x
_atom_site_fract_y
_atom_site_fract_z
_atom_site_occupancy
Ac1 Ac 0.0000 0.0000 0.0000 1
Ac2 Ac 0.0000 0.0000 0.1970 1
Ac3 Ac 0.0000 0.0000 0.3905 1
Zn1 Zn 0.5000 0.5000 0.0988 1
Zn2 Zn 0.5000 0.5000 0.2944 1
Cd1 Cd 0.5000 0.5000 0.5000 1
```